[1]
Material: SrNbAlRu2
Method: DFT, GGA-PBE
State: relaxed

Structure (POSCAR):
```
SrNbAlRu2
1.0
4.5936 0.0000 0.0000
0.0000 5.0816 0.0000
0.0000 0.0000 4.5936
Nb Al Ru Sr
1 1 2 1
Cartesian
2.2968 2.5408 2.2968
0.0000 0.0000 0.0000
2.2968 0.0000 0.0000
0.0000 0.0000 2.2968
0.0000 2.5408 0.0000
```

Calculated values
N(E_F) in states/eV/atom: 1.203
Total magnetization in μB/atom: 0.3248
Formation energy in kcal/mol of atoms: 28.5
Final energy in hartree per atom: -0.205
Theoretical density in g/cm3: 6.3
Symmetry: P4/mmm

[2]
Material: TaNbAl2Ru
Method: DFT, GGA-PBE
State: relaxed

Structure (POSCAR):
```
TaNbAl2Ru
1.0
-1.1758 1.5085 -4.4425
-2.3256 -3.8813 -0.7024
-3.9971 2.0759 1.7629
Al Ta Nb Ru
2 1 1 1
Cartesian
-0.5879 0.7542 -2.2212
-1.9985 1.0380 0.8814
0.0000 0.0000 0.0000
-3.7493 -0.1485 -1.6910
-1.1628 -1.9407 -0.3512
```

Calculated values
N(E_F) in states/eV/atom: 1.037
Total magnetization in μB/atom: 0.0001
Formation energy in kcal/mol of atoms: 29.8
Final energy in hartree per atom: -0.237
Theoretical density in g/cm3: 6.6
Symmetry: P4/mmm

[3]
Material: Tb2NbAl2Ru5
Method: DFT, GGA-PBE
State: relaxed

Structure (POSCAR):
```
Tb2NbAl2Ru5
1.0
-0.8458 -1.1547 -2.9798
9.7108 0.3754 -2.9017
1.3520 -9.4958 3.2960
Ru Tb Nb Al
10 4 2 4
Cartesian
6.0254 -7.0069 -0.8286
6.9557 -4.4298 -2.0913
4.4325 -0.3897 -2.9408
8.9105 -2.1214 -3.5407
4.1916 -3.2682 -1.7569
0.2531 -5.3252 0.1581
3.2613 -5.8453 -0.4942
8.6125 -9.1398 -0.7364
1.3065 -8.1537 0.9552
1.6045 -1.1353 -1.8491
8.9499 -6.0694 -0.1883
2.1129 -3.0510 0.5826
4.3057 -7.7403 1.7773
6.7571 -1.3801 -1.3831
0.0000 0.0000 0.0000
5.5314 -4.5602 0.1971
7.2645 -8.0597 1.0613
2.0750 -5.9013 1.6979
8.9878 -3.2191 -1.3036
3.7983 -1.0607 -0.6671
```

Calculated values
N(E_F) in states/eV/atom: 0.806
Total magnetization in μB/atom: 0.0000
Formation energy in kcal/mol of atoms: -9.9
Final energy in hartree per atom: -0.285
Theoretical density in g/cm3: 9.5
Symmetry: P4/mbm

[4]
Material: TiNbAlRu
Method: DFT, GGA-PBE
State: relaxed

Structure (POSCAR):
```
TiNbAlRu
1.0
4.4690 0.0000 0.0000
2.2345 3.8703 0.0000
2.2345 1.2901 3.6490
Nb Ti Al Ru
1 1 1 1
Cartesian
4.4690 2.5802 1.8245
2.2345 1.2901 0.9122
0.0000 0.0000 0.0000
6.7036 3.8703 2.7367
```

Calculated values
N(E_F) in states/eV/atom: 1.193
Total magnetization in μB/atom: 0.4645
Formation energy in kcal/mol of atoms: -8.5
Final energy in hartree per atom: -0.298
Theoretical density in g/cm3: 7.1
Symmetry: F-43m